## TbSiO3 (PBE)

Data for crystalline TbSiO3 at its relaxed geometry.

The calculation puts the total energy at -221.29 eV/cell.

It has space group R-3c (No. 167, hexagonal axes), with a = 5.2065 Å, b = 5.2065 Å, c = 12.7272 Å, α = 90.00°, β = 90.00° and γ = 120.00°. The asymmetric unit holds Tb at (0.0000, 0.0000, 0.2500), Si at (0.0000, 0.0000, 0.0000) and O at (0.0000, 0.4985, 0.2500).